Entry 1:
Here is crystalline VRh2Pb at its relaxed geometry from Alexandria via LeMat-Bulk. Energies are from GGA-PBE.

a = 5.7898 Å, b = 5.7898 Å, c = 5.7898 Å
α = 103.82°, β = 103.82°, γ = 121.48°
Sites, in units of the cell vectors:
V  0.0000  0.0000  0.0000
V  0.7500  0.2500  0.5000
Rh  0.0672  0.1250  0.4422
Rh  0.3750  0.9328  0.0578
Rh  0.6828  0.6250  0.5578
Rh  0.8750  0.3172  0.9422
Pb  0.2500  0.7500  0.5000
Pb  0.5000  0.5000  0.0000

Mass density in g/cm³: 10.67
Volume in Å³ per atom: 18.050



Entry 2:
Here is crystalline Ac2SnS5 at its relaxed geometry from Alexandria via LeMat-Bulk. Energies are from GGA-PBE.

a = 8.1682 Å, b = 11.6078 Å, c = 4.1438 Å
α = 90.00°, β = 90.00°, γ = 90.00°
Sites, in units of the cell vectors:
Ac  0.0820  0.1694  0.0000
Ac  0.4180  0.6694  0.0000
Ac  0.5820  0.3306  0.0000
Ac  0.9180  0.8306  0.0000
Sn  0.0000  0.5000  0.5000
Sn  0.5000  0.0000  0.5000
S  0.0000  0.0000  0.5000
S  0.1359  0.7016  0.5000
S  0.1880  0.4360  0.0000
S  0.3120  0.9360  0.0000
S  0.3641  0.2016  0.5000
S  0.5000  0.5000  0.5000
S  0.6359  0.7984  0.5000
S  0.6880  0.0640  0.0000
S  0.8120  0.5640  0.0000
S  0.8641  0.2984  0.5000

Formation energy without anion corrections in eV/atom: -1.53
E above lowest polymorph in meV/atom: 0.0
Mass density in g/cm³: 6.20
Volume in Å³ per atom: 24.556



Computed values of energy (unit: eV/cell) for the preceding records, in sequence: -53.8 -90.2.
Computed values of M_tot (unit: μB per formula unit) for the preceding records, in sequence: 0.0 0.0.
Computed values of DOS(E_F) (unit: states/eV/f.u.) for the preceding records, in sequence: 2.9 0.5.